Entry from the Alexandria database: a relaxed Li4Ti2Nb3Cr3O16 crystal (GGA+U).

Computed properties:
- Raw total energy: -220.6 eV per cell
- D(E_F): 4.9 states/eV per cell
- Total moment: 11.03 μB per cell

Unit cell a=6.0683 b=6.0683 c=9.7928 alpha=91.00 beta=91.00 gamma=59.44
Last column: nearest neighbours and their distance in Å.
Element x y z (fractional)
Li: 0.0000 0.0000 0.0000  2 O 1.82-1.99
Li: 0.0204 0.0204 0.5044  3 O 1.81-2.00
Li: 0.3477 0.3477 0.9166  4 O 1.96-2.02
Li: 0.6790 0.6790 0.3995  4 O 1.93-2.06
Ti: 0.3620 0.3620 0.5017  4 O 1.90-2.08
Ti: 0.6780 0.6780 0.0111  6 O 1.95-2.15
Nb: 0.1800 0.1800 0.2306  6 O 2.00-2.09
Nb: 0.3847 0.8401 0.7279  5 O 1.93-2.15
Nb: 0.8401 0.3847 0.7279  5 O 1.93-2.15
Cr: 0.1795 0.6704 0.2237  6 O 2.00-2.12
Cr: 0.6704 0.1795 0.2237  6 O 2.00-2.12
Cr: 0.8555 0.8555 0.7134  4 O 1.97-2.19
O: 0.0100 0.0100 0.3199  1 Li 1.81, 2 Cr 2.00, 1 Nb 2.01
O: 0.0185 0.0185 0.8152  1 Li 1.82, 1 Cr 1.97
O: 0.0514 0.4930 0.3491  1 Nb 2.00, 1 Li 2.01, 1 Cr 2.05, 1 Ti 2.20
O: 0.1918 0.1918 0.6045  1 Li 2.04, 1 Ti 2.08, 2 Nb 2.21
O: 0.2112 0.6808 0.5969  1 Ti 1.90, 1 Li 2.00
O: 0.3395 0.3395 0.1166  1 Li 1.96, 2 Cr 2.01, 1 Nb 2.04
O: 0.3421 0.8467 0.1112  1 Ti 2.02, 1 Li 2.09, 1 Nb 2.09, 1 Cr 2.12
O: 0.4883 0.4883 0.3487  2 Cr 2.02, 1 Ti 2.02, 1 Li 2.06
O: 0.4930 0.0514 0.3491  1 Nb 2.00, 1 Li 2.01, 1 Cr 2.05, 1 Ti 2.20
O: 0.5263 0.9747 0.8602  1 Nb 1.93, 1 Li 2.02, 1 Ti 2.15
O: 0.5299 0.5299 0.8676  1 Li 1.99, 1 Ti 2.08, 2 Nb 2.13
O: 0.6808 0.2112 0.5969  1 Ti 1.90, 1 Li 2.00
O: 0.6958 0.6958 0.5964  1 Li 1.93, 1 Cr 2.02, 2 Nb 2.09
O: 0.8416 0.8416 0.1079  1 Ti 1.95, 1 Li 1.99, 2 Cr 2.09
O: 0.8467 0.3421 0.1112  1 Ti 2.02, 1 Li 2.09, 1 Nb 2.09, 1 Cr 2.12
O: 0.9747 0.5263 0.8602  1 Nb 1.93, 1 Li 2.02, 1 Ti 2.15

***

Entry from the Alexandria database: a relaxed Li4Ti3Nb3Cr2O16 crystal (GGA+U).

Computed properties:
- Raw total energy: -223.8 eV per cell
- D(E_F): 6.2 states/eV per cell
- Total moment: 7.80 μB per cell

Unit cell a=6.0709 b=6.0709 c=10.1073 alpha=92.62 beta=92.62 gamma=59.12
Last column: nearest neighbours and their distance in Å.
Element x y z (fractional)
Li: 0.0000 0.0000 0.0000  4 O 1.83-2.00
Li: 0.0032 0.0032 0.4994  4 O 1.84-1.99
Li: 0.3557 0.3557 0.4020  4 O 1.99-2.11
Li: 0.6929 0.6929 0.8951  4 O 2.01-2.06
Ti: 0.1922 0.6832 0.7193  6 O 1.93-2.07
Ti: 0.6832 0.1922 0.7193  6 O 1.93-2.07
Ti: 0.8531 0.8531 0.2205  6 O 1.93-2.03
Nb: 0.1872 0.1872 0.7202  6 O 2.03-2.10
Nb: 0.3716 0.8319 0.2164  6 O 2.01-2.15
Nb: 0.8319 0.3716 0.2164  6 O 2.01-2.15
Cr: 0.3456 0.3456 0.9948  5 O 2.11-2.29
Cr: 0.6848 0.6848 0.5001  4 O 2.07-2.21
O: 0.0154 0.0154 0.3186  1 Li 1.84, 1 Ti 1.93
O: 0.0187 0.0187 0.8207  1 Li 1.83, 2 Ti 2.00
O: 0.0600 0.5091 0.8383  1 Li 2.01, 1 Nb 2.04, 1 Ti 2.07, 1 Cr 2.15
O: 0.1602 0.1602 0.1026  1 Li 1.94, 2 Nb 2.10
O: 0.1732 0.6886 0.1110  1 Li 2.00, 1 Ti 2.03, 1 Nb 2.05, 1 Cr 2.11
O: 0.3247 0.8565 0.6096  1 Li 1.99, 1 Ti 2.01, 1 Nb 2.03, 1 Cr 2.21
O: 0.3478 0.3478 0.6103  2 Ti 2.04, 1 Nb 2.08, 1 Li 2.11
O: 0.5091 0.0600 0.8383  1 Li 2.01, 1 Nb 2.04, 1 Ti 2.07, 1 Cr 2.15
O: 0.5089 0.5089 0.8217  2 Ti 1.93, 1 Li 2.04
O: 0.5370 0.5370 0.3565  1 Li 1.99, 1 Cr 2.07, 2 Nb 2.12
O: 0.5403 0.9865 0.3295  1 Ti 2.00, 1 Nb 2.01, 1 Li 2.04
O: 0.6886 0.1732 0.1110  1 Li 2.00, 1 Ti 2.03, 1 Nb 2.05, 1 Cr 2.11
O: 0.6975 0.6975 0.0991  1 Ti 2.00, 1 Li 2.06, 2 Nb 2.11
O: 0.8565 0.3247 0.6096  1 Li 1.99, 1 Ti 2.01, 1 Nb 2.03, 1 Cr 2.21
O: 0.8567 0.8567 0.6130  1 Li 1.97, 2 Ti 2.03, 1 Cr 2.09
O: 0.9865 0.5403 0.3295  1 Ti 2.00, 1 Nb 2.01, 1 Li 2.04